No. 1
Density functional theory data (PBE) for an optimized crystal structure of CaHfTl2Zn.

Geometry as extended XYZ:
```
5
Lattice="-4.133 -2.001 -2.524 3.112 -1.637 -3.798 0.670 -4.550 2.511" Properties=species:S:1:pos:R:3 pbc="T T T"
Tl 0.335 -2.275 1.255
Tl -2.066 -1.000 -1.262
Ca -0.175 -4.094 -1.906
Hf 1.556 -0.819 -1.899
Zn 0.000 0.000 0.000
```

Magnetization, Bohr magnetons per cell: 0.0
Energy of formation, eV/atom: 0.441
Uncorrected energy, eV/atom: -3.151


No. 2
Density functional theory data (PBE) for an optimized crystal structure of CaHfZr2Tl.

Geometry as extended XYZ:
```
5
Lattice="-0.605 -5.329 -1.028 3.506 0.389 -4.078 4.104 -1.126 3.422" Properties=species:S:1:pos:R:3 pbc="T T T"
Tl 0.000 0.000 0.000
Hf 1.753 0.194 -2.039
Ca 3.503 -3.033 -0.842
Zr 2.052 -0.563 1.711
Zr -0.303 -2.664 -0.514
```

Magnetization, Bohr magnetons per cell: 0.0
Energy of formation, eV/atom: 1.003
Uncorrected energy, eV/atom: -5.280


No. 3
Density functional theory data (PBE) for an optimized crystal structure of CaTm2Hf.

Geometry as extended XYZ:
```
4
Lattice="-0.401 0.587 3.364 -0.086 -3.388 0.581 10.107 -0.047 1.213" Properties=species:S:1:pos:R:3 pbc="T T T"
Ca 4.810 -1.424 2.580
Tm 7.957 -0.037 0.955
Tm 2.149 -0.010 0.258
Hf -0.243 -1.400 1.973
```

Magnetization, Bohr magnetons per cell: 0.0
Energy above the most stable polymorph in this dataset, eV/atom: 0.0000
Energy of formation, eV/atom: 0.130
Uncorrected energy, eV/atom: -5.094